TmCuPd: relaxed, PBE.

Results
**ΔE to the lowest computed polymorph**: 347.9 meV/atom
**Formation energy**: -0.072 eV/atom
**V**: 21.8 Å³/atom
**Calculated total energy**: -4.528 eV/atom

abc: 6.3990 6.3990 6.3990
angles: 90.00 90.00 90.00
Space group F-43m (No. 216)
Symmetry-distinct sites (fractional):
Tm 0.0000 0.0000 0.0000 [4 per cell]
Cu 0.2500 0.2500 0.7500 [4 per cell]
Pd 0.2500 0.2500 0.2500 [4 per cell]